Entry from OQMD via LeMat-Bulk: a relaxed structure of BeCuTcB (PBE-GGA).

Output
As for the symmetry: No. 216. As for the total energy: -5.3950 eV/atom. The value obtained for the energy above the most stable polymorph in this dataset is 0.5862 eV/atom. For the spin magnetization, the calculation gives 0.025 Bohr magnetons per cell.

Cell lengths 5.510, 5.510, 5.510 Å; angles 90.00, 90.00, 90.00 degrees
Sites, in units of the cell vectors:
1 Be 0.000 0.000 0.000
2 Be 0.000 0.500 0.500
3 Be 0.500 0.000 0.500
4 Be 0.500 0.500 0.000
5 Cu 0.000 0.000 0.500
6 Cu 0.000 0.500 0.000
7 Cu 0.500 0.000 0.000
8 Cu 0.500 0.500 0.500
9 Tc 0.250 0.250 0.250
10 Tc 0.250 0.750 0.750
11 Tc 0.750 0.250 0.750
12 Tc 0.750 0.750 0.250
13 B 0.250 0.250 0.750
14 B 0.250 0.750 0.250
15 B 0.750 0.250 0.250
16 B 0.750 0.750 0.750